Density functional theory data (GGA-PBE) for crystalline LiMg2Pd at its relaxed geometry.

Calculated values
**E_tot**: -2.982 eV/atom
**Excess energy over the best structure of this formula in the dataset**: 0.065 eV per atom
**N(E_F)**: 0.4704 states/eV/atom
**M_tot**: 0.00 μB/cell
**Energy of formation**: -0.4075 eV/atom

Cell: 3.6227 4.3547 4.3547 Å, 90.00 90.00 90.00°
Fractional positions:
Mg  0.0000  0.0000  0.5000
Pd  0.5000  0.5000  0.5000
Mg  0.0000  0.5000  0.0000
Li  0.5000  0.0000  0.0000

Density functional theory data (GGA-PBE) for crystalline LiCrFe at its relaxed geometry.

Calculated values
**E_tot**: -5.870 eV/atom
**Excess energy over the best structure of this formula in the dataset**: 0.649 eV per atom
**N(E_F)**: 0.8320 states/eV/atom
**M_tot**: 1.00 μB/cell
**Energy of formation**: 0.7964 eV/atom

Cell: 3.9139 3.9139 3.9139 Å, 60.00 60.00 60.00°
Fractional positions:
Cr  0.5000  0.5000  0.5000
Fe  0.7500  0.7500  0.7500
Li  0.0000  0.0000  0.0000

Density functional theory data (GGA-PBE) for crystalline LaTbTl4 at its relaxed geometry.

Calculated values
**E_tot**: -3.304 eV/atom
**Excess energy over the best structure of this formula in the dataset**: 0.145 eV per atom
**N(E_F)**: 0.9574 states/eV/atom
**M_tot**: 0.00 μB/cell
**Energy of formation**: -0.1338 eV/atom

Cell: 6.2709 6.2709 6.2709 Å, 60.00 60.00 60.00°
Fractional positions:
Tl  0.6251  0.6251  0.6251
Tb  0.0000  0.0000  0.0000
La  0.2500  0.2500  0.2500
Tl  0.6251  0.1247  0.6251
Tl  0.6251  0.6251  0.1247
Tl  0.1247  0.6251  0.6251

Density functional theory data (GGA-PBE) for crystalline NbAlAsBr2 at its relaxed geometry.

Calculated values
**E_tot**: -4.292 eV/atom
**Excess energy over the best structure of this formula in the dataset**: 0.000 eV per atom
**Formation energy without anion corrections**: 0.069 eV per atom
**N(E_F)**: 0.3409 states/eV/atom
**M_tot**: 0.27 μB/cell

Cell: 5.2695 5.2695 5.0490 Å, 90.00 90.00 90.00°
Fractional positions:
Nb  0.0000  0.0000  0.0000
Al  0.5000  0.5000  0.5000
Br  0.5000  0.0000  0.0000
Br  0.0000  0.5000  0.0000
As  0.0000  0.0000  0.5000

Density functional theory data (GGA-PBE) for crystalline ScAl2NiN at its relaxed geometry.

Calculated values
**E_tot**: -3.643 eV/atom
**Formation energy without anion corrections**: 1.942 eV per atom
**N(E_F)**: 0.8749 states/eV/atom
**M_tot**: 1.22 μB/cell

Cell: 5.4345 4.3872 5.4345 Å, 90.00 90.00 90.00°
Fractional positions:
Al  0.0000  0.0000  0.5000
N  0.5000  0.5000  0.5000
Ni  0.0000  0.5000  0.0000
Al  0.5000  0.0000  0.0000
Sc  0.0000  0.0000  0.0000

Density functional theory data (GGA-PBE) for crystalline V2SiRh8 at its relaxed geometry.

Calculated values
**E_tot**: -7.845 eV/atom
**Formation energy without anion corrections**: -0.348 eV per atom
**N(E_F)**: 1.0502 states/eV/atom
**M_tot**: 0.00 μB/cell

Cell: 4.2018 5.7515 7.1651 Å, 109.16 107.05 90.00°
Fractional positions:
Rh  0.9737  0.2310  0.9474
V  0.1884  0.6676  0.3768
Rh  0.0263  0.7690  0.0526
Rh  0.6124  0.4384  0.2248
Rh  0.8187  0.7589  0.6374
V  0.8116  0.3324  0.6232
Si  0.5000  0.0000  0.0000
Rh  0.3876  0.5616  0.7752
Rh  0.1813  0.2411  0.3626
Rh  0.6635  0.9396  0.3271
Rh  0.3365  0.0604  0.6729

Density functional theory data (GGA-PBE) for crystalline Pr3NiHg at its relaxed geometry.

Calculated values
**E_tot**: -4.308 eV/atom
**Excess energy over the best structure of this formula in the dataset**: 0.000 eV per atom
**N(E_F)**: 1.1658 states/eV/atom
**M_tot**: 0.00 μB/cell
**Energy of formation**: -0.2237 eV/atom

Cell: 6.9242 8.9478 10.2527 Å, 113.70 90.00 90.00°
Fractional positions:
Ni  0.5391  0.1487  0.0917
Pr  0.6650  0.8745  0.1518
Pr  0.5718  0.2817  0.4136
Hg  0.3502  0.9122  0.3930
Ni  0.0391  0.3513  0.9083
Pr  0.8268  0.9798  0.8461
Ni  0.9609  0.6487  0.0917
Pr  0.1732  0.0202  0.1539
Pr  0.0718  0.2183  0.5864
Pr  0.9282  0.7817  0.4136
Hg  0.1498  0.4122  0.3930
Hg  0.6498  0.0878  0.6070
Pr  0.8350  0.3745  0.1518
Pr  0.4282  0.7183  0.5864
Pr  0.3268  0.5202  0.1539
Pr  0.1650  0.6255  0.8482
Hg  0.8502  0.5878  0.6070
Pr  0.6732  0.4798  0.8461
Pr  0.3350  0.1255  0.8482
Ni  0.4609  0.8513  0.9083

Density functional theory data (GGA-PBE) for crystalline GdThPdRu at its relaxed geometry.

Calculated values
**E_tot**: -9.552 eV/atom
**N(E_F)**: 0.8932 states/eV/atom
**M_tot**: 7.09 μB/cell
**Energy of formation**: -0.5593 eV/atom

Cell: 5.0072 5.0072 5.0072 Å, 60.00 60.00 60.00°
Fractional positions:
Ru  0.7500  0.7500  0.7500
Th  0.5000  0.5000  0.5000
Pd  0.2500  0.2500  0.2500
Gd  0.0000  0.0000  0.0000